# Li4Ti3Mn2V3O16, optimized geometry, DFT GGA+U
data_Li4Ti3Mn2V3O16
_chemical_formula_sum 'Li4 Ti3 Mn2 V3 O16'
_symmetry_space_group_name_H-M 'P 1'
_symmetry_Int_Tables_number 1
_cell_length_a 5.946
_cell_length_b 5.952
_cell_length_c 9.969
_cell_angle_alpha 89.79
_cell_angle_beta 89.66
_cell_angle_gamma 60.12
loop_
_symmetry_equiv_pos_as_xyz
'x,y,z'
loop_
_atom_site_label
_atom_site_type_symbol
_atom_site_fract_x
_atom_site_fract_y
_atom_site_fract_z
Li1 Li 0.000 0.000 0.000
Li2 Li 0.005 0.984 0.499
Li3 Li 0.337 0.330 0.100
Li4 Li 0.674 0.665 0.601
Ti1 Ti 0.199 0.141 0.776
Ti2 Ti 0.661 0.203 0.776
Ti3 Ti 0.802 0.329 0.289
Mn1 Mn 0.322 0.332 0.500
Mn2 Mn 0.659 0.659 0.001
V1 V 0.138 0.664 0.788
V2 V 0.336 0.846 0.281
V3 V 0.853 0.802 0.276
O1 O 0.034 0.474 0.669
O2 O 0.145 0.158 0.389
O3 O 0.169 0.684 0.384
O4 O 0.308 0.840 0.889
O5 O 0.337 0.322 0.888
O6 O 0.477 0.491 0.671
O7 O 0.491 0.024 0.669
O8 O 0.505 0.965 0.171
O9 O 0.523 0.505 0.168
O10 O 0.670 0.659 0.390
O11 O 0.687 0.140 0.390
O12 O 0.840 0.308 0.890
O13 O 0.854 0.827 0.893
O14 O 0.969 0.527 0.168
O15 O 0.995 0.997 0.682
O16 O 0.998 0.001 0.183
# E = -7.622 eV per atom
# Spin magnetization = 13.0 μB/cell